Material: Tb2ScGa4Pt3
Method: DFT, PBE
State: relaxed

Lattice parameters (Å, degrees): 4.074 4.074 11.757 90.00 90.00 90.00
Space group P-4m2 (No. 115)
One atom of each set of equivalent atoms:
Tb1 0.000 0.500 0.237 (multiplicity 2)
Sc1 0.000 0.000 0.500 (multiplicity 1)
Ga1 0.000 0.000 0.000 (multiplicity 1)
Ga2 0.000 0.500 0.654 (multiplicity 2)
Ga3 0.500 0.500 0.000 (multiplicity 1)
Pt1 0.000 0.500 0.865 (multiplicity 2)
Pt2 0.500 0.500 0.500 (multiplicity 1)

For the density of states at the Fermi level, the calculation gives 7.764 states/eV/f.u. For the energy of formation, the calculation gives -903 meV per atom. Its calculated total energy is -54.85 eV for the cell shown.

Material: ThScGa2Pt5
Method: DFT, PBE
State: relaxed

Lattice parameters (Å, degrees): 4.202 4.202 9.397 90.00 90.00 90.00
Space group P4/mmm (No. 123)
One atom of each set of equivalent atoms:
Th1 0.000 0.000 0.000 (multiplicity 1)
Sc1 0.000 0.000 0.500 (multiplicity 1)
Ga1 0.500 0.500 0.374 (multiplicity 2)
Pt1 0.000 0.500 0.229 (multiplicity 4)
Pt2 0.500 0.500 0.000 (multiplicity 1)

For the density of states at the Fermi level, the calculation gives 5.199 states/eV/f.u. For the energy of formation, the calculation gives -884 meV per atom. Its calculated total energy is -57.96 eV for the cell shown.

Material: ThScGa5Pt2
Method: DFT, PBE
State: relaxed

Lattice parameters (Å, degrees): 4.533 4.533 9.782 90.00 90.00 90.00
Space group P4/mmm (No. 123)
One atom of each set of equivalent atoms:
Th1 0.000 0.000 0.000 (multiplicity 1)
Sc1 0.000 0.000 0.500 (multiplicity 1)
Ga1 0.000 0.500 0.329 (multiplicity 4)
Ga2 0.500 0.500 0.000 (multiplicity 1)
Pt1 0.500 0.500 0.236 (multiplicity 2)

For the density of states at the Fermi level, the calculation gives 4.649 states/eV/f.u. For the energy of formation, the calculation gives -289 meV per atom. Its calculated total energy is -43.57 eV for the cell shown.

Material: ThScGa2Pt2
Method: DFT, PBE
State: relaxed

Lattice parameters (Å, degrees): 4.4454 4.4454 6.8674 90.00 90.00 120.00
Space group P-3m1 (No. 164)
One atom of each set of equivalent atoms:
Th1 0.0000 0.0000 0.0000 (multiplicity 1)
Sc1 0.0000 0.0000 0.5000 (multiplicity 1)
Ga1 0.3333 0.6667 0.2973 (multiplicity 2)
Pt1 0.3333 0.6667 0.7207 (multiplicity 2)

For the density of states at the Fermi level, the calculation gives 4.705 states/eV/f.u. For the energy of formation, the calculation gives -1054 meV per atom. Its calculated total energy is -38.21 eV for the cell shown.

Material: ThScGaPt
Method: DFT, PBE
State: relaxed

Lattice parameters (Å, degrees): 7.071 7.071 7.071 90.00 90.00 90.00
Space group F-43m (No. 216)
One atom of each set of equivalent atoms:
Th1 0.000 0.000 0.000 (multiplicity 4)
Sc1 0.000 0.000 0.500 (multiplicity 4)
Ga1 0.250 0.250 0.750 (multiplicity 4)
Pt1 0.250 0.250 0.250 (multiplicity 4)

For the density of states at the Fermi level, the calculation gives 3.633 states/eV/f.u. For the energy of formation, the calculation gives -720 meV per atom. Its calculated total energy is -102.80 eV for the cell shown.

Material: Th2ScGa3Pt4
Method: DFT, PBE
State: relaxed

Lattice parameters (Å, degrees): 4.180 4.180 11.408 90.00 90.00 90.00
Space group P-4m2 (No. 115)
One atom of each set of equivalent atoms:
Th1 0.000 0.500 0.234 (multiplicity 2)
Sc1 0.000 0.000 0.500 (multiplicity 1)
Ga1 0.000 0.500 0.872 (multiplicity 2)
Ga2 0.500 0.500 0.500 (multiplicity 1)
Pt1 0.000 0.000 0.000 (multiplicity 1)
Pt2 0.000 0.500 0.651 (multiplicity 2)
Pt3 0.500 0.500 0.000 (multiplicity 1)

For the density of states at the Fermi level, the calculation gives 9.107 states/eV/f.u. For the energy of formation, the calculation gives -983 meV per atom. Its calculated total energy is -64.25 eV for the cell shown.

Material: TmScGaPt
Method: DFT, PBE
State: relaxed

Lattice parameters (Å, degrees): 4.323 3.587 10.668 90.00 90.00 90.00
Space group Amm2 (No. 38)
One atom of each set of equivalent atoms:
Tm1 0.000 0.000 0.000 (multiplicity 2)
Sc1 0.500 0.000 0.713 (multiplicity 2)
Ga1 0.000 0.000 0.273 (multiplicity 2)
Pt1 0.500 0.000 0.430 (multiplicity 2)

For the density of states at the Fermi level, the calculation gives 2.768 states/eV/f.u. For the energy of formation, the calculation gives -948 meV per atom. Its calculated total energy is -47.33 eV for the cell shown. The value obtained for the distance to the lowest polymorph of the same formula is 0.000 eV/f.u.

Material: Tm2Sc2Ga4Pt
Method: DFT, PBE
State: relaxed

Lattice parameters (Å, degrees): 6.365 6.365 9.201 90.00 90.00 90.00
Space group I4/mmm (No. 139)
One atom of each set of equivalent atoms:
Tm1 0.000 0.500 0.250 (multiplicity 4)
Sc1 0.000 0.000 0.222 (multiplicity 4)
Ga1 0.220 0.220 0.000 (multiplicity 8)
Pt1 0.000 0.000 0.500 (multiplicity 2)

For the density of states at the Fermi level, the calculation gives 5.692 states/eV/f.u. For the energy of formation, the calculation gives -507 meV per atom. Its calculated total energy is -88.64 eV for the cell shown.

Material: TmScGa2Pt2
Method: DFT, PBE
State: relaxed

Lattice parameters (Å, degrees): 4.4319 4.4319 6.4900 90.00 90.00 120.00
Space group P-3m1 (No. 164)
One atom of each set of equivalent atoms:
Tm1 0.0000 0.0000 0.0000 (multiplicity 1)
Sc1 0.0000 0.0000 0.5000 (multiplicity 1)
Ga1 0.3333 0.6667 0.7233 (multiplicity 2)
Pt1 0.3333 0.6667 0.2706 (multiplicity 2)

For the density of states at the Fermi level, the calculation gives 2.775 states/eV/f.u. For the energy of formation, the calculation gives -1080 meV per atom. Its calculated total energy is -35.42 eV for the cell shown.

Material: TmScGaPt
Method: DFT, PBE
State: relaxed

Lattice parameters (Å, degrees): 6.831 6.831 6.831 90.00 90.00 90.00
Space group F-43m (No. 216)
One atom of each set of equivalent atoms:
Tm1 0.000 0.000 0.000 (multiplicity 4)
Sc1 0.000 0.000 0.500 (multiplicity 4)
Ga1 0.250 0.250 0.250 (multiplicity 4)
Pt1 0.250 0.250 0.750 (multiplicity 4)

For the density of states at the Fermi level, the calculation gives 3.277 states/eV/f.u. For the energy of formation, the calculation gives -892 meV per atom. Its calculated total energy is -93.75 eV for the cell shown. The value obtained for the distance to the lowest polymorph of the same formula is 0.226 eV/f.u.

Material: Y2ScGa3Pt4
Method: DFT, PBE
State: relaxed

Lattice parameters (Å, degrees): 4.101 4.101 11.459 90.00 90.00 90.00
Space group P-4m2 (No. 115)
One atom of each set of equivalent atoms:
Y1 0.000 0.500 0.234 (multiplicity 2)
Sc1 0.000 0.000 0.500 (multiplicity 1)
Ga1 0.000 0.500 0.869 (multiplicity 2)
Ga2 0.500 0.500 0.500 (multiplicity 1)
Pt1 0.000 0.000 0.000 (multiplicity 1)
Pt2 0.000 0.500 0.652 (multiplicity 2)
Pt3 0.500 0.500 0.000 (multiplicity 1)

For the density of states at the Fermi level, the calculation gives 5.421 states/eV/f.u. For the energy of formation, the calculation gives -1015 meV per atom. Its calculated total energy is -62.65 eV for the cell shown.

Material: YScGa2Pt2
Method: DFT, PBE
State: relaxed

Lattice parameters (Å, degrees): 4.4360 4.4360 6.6228 90.00 90.00 120.00
Space group P-3m1 (No. 164)
One atom of each set of equivalent atoms:
Y1 0.0000 0.0000 0.0000 (multiplicity 1)
Sc1 0.0000 0.0000 0.5000 (multiplicity 1)
Ga1 0.3333 0.6667 0.2829 (multiplicity 2)
Pt1 0.3333 0.6667 0.7215 (multiplicity 2)

For the density of states at the Fermi level, the calculation gives 2.676 states/eV/f.u. For the energy of formation, the calculation gives -1083 meV per atom. Its calculated total energy is -37.43 eV for the cell shown.